Record 1
This record from Alexandria via LeMat-Bulk describes a relaxed structure of LiNi2Sb. The functional is PBE.

The value obtained for the total energy is -4.595 eV per atom. The formation energy without anion corrections is -0.195 eV per atom. For the calculated density, the calculation gives 7.6 g/cm³.

The space group is F-43m (No. 216) and the conventional cell measures 5.9870, 5.9870 and 5.9870 Å, with angles of 90.00, 90.00 and 90.00 degrees. The asymmetric unit holds Li at (0.0000, 0.0000, 0.0000), Ni at (0.0000, 0.0000, 0.5000), Ni at (0.2500, 0.2500, 0.7500) and Sb at (0.2500, 0.2500, 0.2500).

---

Record 2
This record from Alexandria via LeMat-Bulk describes a relaxed structure of NaAg2PF8. The functional is PBE.

The value obtained for the total energy is -4.219 eV per atom. The formation energy without anion corrections is -1.935 eV per atom. For the calculated density, the calculation gives 4.1 g/cm³.

The space group is P-3m1 (No. 164) and the conventional cell measures 4.9482, 4.9482 and 8.1428 Å, with angles of 90.00, 90.00 and 120.00 degrees. The asymmetric unit holds Na at (0.0000, 0.0000, 0.0000), Ag at (0.3333, 0.6667, 0.2092), P at (0.0000, 0.0000, 0.5000), F at (0.1546, 0.3093, 0.6175) and F at (0.3333, 0.6667, 0.9414).

---

Record 3
This record from Alexandria via LeMat-Bulk describes a relaxed structure of LiEuAg. The functional is PBE.

The value obtained for the energy relative to the elements is -3.8 kJ per mole of atoms. The value obtained for the total energy is -5.052 eV per atom. Its offset from the most stable computed form is 0.40 eV/f.u. For the calculated density, the calculation gives 4.9 g/cm³.

The space group is F-43m (No. 216) and the conventional cell measures 7.1276, 7.1276 and 7.1276 Å, with angles of 90.00, 90.00 and 90.00 degrees. The asymmetric unit holds Li at (0.0000, 0.0000, 0.0000), Eu at (0.0000, 0.0000, 0.5000) and Ag at (0.2500, 0.2500, 0.7500).

---

Record 4
This record from Alexandria via LeMat-Bulk describes a relaxed structure of Hf3ScAs. The functional is PBE.

The value obtained for the energy relative to the elements is 5.4 kJ per mole of atoms. The value obtained for the total energy is -8.113 eV per atom. Its offset from the most stable computed form is 0.00 eV/f.u. For the calculated density, the calculation gives 8.8 g/cm³.

The space group is Pm-3m (No. 221) and the conventional cell measures 4.9882, 4.9882 and 4.9882 Å, with angles of 90.00, 90.00 and 90.00 degrees. The asymmetric unit holds Hf at (0.0000, 0.0000, 0.5000), Sc at (0.5000, 0.5000, 0.5000) and As at (0.0000, 0.0000, 0.0000).

---

Record 5
This record from Alexandria via LeMat-Bulk describes a relaxed structure of CsSc2Ge. The functional is PBE.

The value obtained for the energy relative to the elements is 6.2 kJ per mole of atoms. The value obtained for the total energy is -4.469 eV per atom. Its offset from the most stable computed form is 0.00 eV/f.u. For the calculated density, the calculation gives 3.5 g/cm³.

The space group is R-3m (No. 166, hexagonal axes) and the conventional cell measures 3.9120, 3.9120 and 31.4815 Å, with angles of 90.00, 90.00 and 120.00 degrees. The asymmetric unit holds Cs at (0.0000, 0.0000, 0.0000), Sc at (0.0000, 0.0000, 0.1206) and Ge at (0.0000, 0.0000, 0.5000).

---

Record 6
This record from Alexandria via LeMat-Bulk describes a relaxed structure of Nd2Mg3Ge4. The functional is PBE.

The value obtained for the energy relative to the elements is -47.4 kJ per mole of atoms. The value obtained for the total energy is -4.135 eV per atom. For the calculated density, the calculation gives 5.5 g/cm³.

The space group is Cmce (No. 64) and the conventional cell measures 6.1239, 15.9164 and 8.1378 Å, with angles of 90.00, 90.00 and 90.00 degrees. The asymmetric unit holds Nd at (0.0000, 0.1128, 0.0866), Mg at (0.0000, 0.0000, 0.5000), Mg at (0.2500, 0.2112, 0.7500), Ge at (0.0000, 0.1871, 0.4475) and Ge at (0.2500, 0.0436, 0.7500).

---

Record 7
This record from Alexandria via LeMat-Bulk describes a relaxed structure of ScGa3Ni. The functional is PBE.

The value obtained for the energy relative to the elements is -18.4 kJ per mole of atoms. The value obtained for the total energy is -4.430 eV per atom. Its offset from the most stable computed form is 1.65 eV/f.u. For the calculated density, the calculation gives 5.7 g/cm³.

The space group is Pm-3m (No. 221) and the conventional cell measures 4.5097, 4.5097 and 4.5097 Å, with angles of 90.00, 90.00 and 90.00 degrees. The asymmetric unit holds Sc at (0.0000, 0.0000, 0.0000), Ga at (0.0000, 0.5000, 0.5000) and Ni at (0.5000, 0.5000, 0.5000).

---

Record 8
This record from Alexandria via LeMat-Bulk describes a relaxed structure of AcHo2Rh. The functional is PBE.

The value obtained for the energy relative to the elements is -38.0 kJ per mole of atoms. The value obtained for the total energy is -5.548 eV per atom. Its offset from the most stable computed form is 0.33 eV/f.u. For the calculated density, the calculation gives 9.6 g/cm³.

The space group is P4/mmm (No. 123) and the conventional cell measures 3.5565, 3.5565 and 9.0166 Å, with angles of 90.00, 90.00 and 90.00 degrees. The asymmetric unit holds Ac at (0.0000, 0.0000, 0.0000), Ho at (0.5000, 0.5000, 0.3232) and Rh at (0.0000, 0.0000, 0.5000).

---

Record 9
This record from Alexandria via LeMat-Bulk describes a relaxed structure of NiAsRu. The functional is PBE.

The value obtained for the energy relative to the elements is 4.9 kJ per mole of atoms. The value obtained for the total energy is -6.519 eV per atom. Its offset from the most stable computed form is 0.69 eV/f.u. For the calculated density, the calculation gives 9.7 g/cm³.

The space group is I4mm (No. 107) and the conventional cell measures 3.0184, 3.0184 and 8.8551 Å, with angles of 90.00, 90.00 and 90.00 degrees. The asymmetric unit holds Ni at (0.0000, 0.0000, 0.0000), As at (0.0000, 0.0000, 0.6499) and Ru at (0.0000, 0.0000, 0.3079).

---

Record 10
This record from Alexandria via LeMat-Bulk describes a relaxed structure of Mn2Pt. The functional is PBE.

The value obtained for the energy relative to the elements is -11.1 kJ per mole of atoms. The value obtained for the total energy is -8.242 eV per atom. For the calculated density, the calculation gives 12.0 g/cm³.

The space group is Cmcm (No. 63) and the conventional cell measures 2.7796, 13.6856 and 4.4425 Å, with angles of 90.00, 90.00 and 90.00 degrees. The asymmetric unit holds Mn at (0.0000, 0.0545, 0.2500), Mn at (0.0000, 0.3954, 0.2500) and Pt at (0.0000, 0.2818, 0.7500).

---

Record 11
This record from Alexandria via LeMat-Bulk describes a relaxed structure of FePOs. The functional is PBE.

The value obtained for the energy relative to the elements is 4.4 kJ per mole of atoms. The value obtained for the total energy is -8.322 eV per atom. For the calculated density, the calculation gives 12.4 g/cm³.

The space group is P3m1 (No. 156) and the conventional cell measures 2.7471, 2.7471 and 5.6581 Å, with angles of 90.00, 90.00 and 120.00 degrees. The asymmetric unit holds Fe at (0.0000, 0.0000, 0.0000), P at (0.3333, 0.6667, 0.7079) and Os at (0.6667, 0.3333, 0.3724).

---

Record 12
This record from Alexandria via LeMat-Bulk describes a relaxed structure of Al2TcIr2. The functional is PBE.

The value obtained for the energy relative to the elements is -43.1 kJ per mole of atoms. The value obtained for the total energy is -7.561 eV per atom. For the calculated density, the calculation gives 12.4 g/cm³.

The space group is P4/mbm (No. 127) and the conventional cell measures 7.1757, 7.1757 and 2.7967 Å, with angles of 90.00, 90.00 and 90.00 degrees. The asymmetric unit holds Al at (0.1341, 0.3659, 0.0000), Tc at (0.0000, 0.0000, 0.0000) and Ir at (0.1653, 0.6653, 0.5000).